(1)
Entry from the Alexandria database: InGa2CoBr after structural relaxation (PBE).

Results
Uncorrected energy ... -3.759 eV per atom
DOS(E_F) ... 1.60 states/eV/f.u.
Symmetry ... No. 123
Formation energy without anion corrections ... -0.24 eV per atom

Unit cell a=4.651 b=4.651 c=5.129 alpha=90.00 beta=90.00 gamma=90.00
Fractional coordinates of all 5 atoms:
In 0.000 0.000 0.000
Ga 0.000 0.500 0.500
Ga 0.500 0.000 0.500
Co 0.000 0.000 0.500
Br 0.500 0.500 0.000



(2)
Entry from the Alexandria database: Ga2CoIrBr after structural relaxation (PBE).

Results
Uncorrected energy ... -3.183 eV per atom
DOS(E_F) ... 4.67 states/eV/f.u.
Symmetry ... No. 123
Formation energy without anion corrections ... 1.56 eV per atom

Unit cell a=5.394 b=5.394 c=4.585 alpha=90.00 beta=90.00 gamma=90.00
Fractional coordinates of all 5 atoms:
Ga 0.000 0.500 0.000
Ga 0.500 0.000 0.000
Co 0.000 0.000 0.500
Ir 0.500 0.500 0.500
Br 0.500 0.500 0.000



(3)
Entry from the Alexandria database: La4GaCoBr2 after structural relaxation (PBE).

Results
Uncorrected energy ... -5.004 eV per atom
DOS(E_F) ... 5.48 states/eV/f.u.
Symmetry ... No. 10
Formation energy without anion corrections ... -0.86 eV per atom

Unit cell a=7.582 b=4.173 c=8.102 alpha=90.00 beta=107.07 gamma=90.00
Fractional coordinates of all 8 atoms:
La 0.224 0.000 0.303
La 0.227 0.500 0.704
La 0.773 0.500 0.296
La 0.776 0.000 0.697
Ga 0.500 0.500 0.500
Co 0.000 0.000 0.500
Br 0.000 0.500 0.000
Br 0.500 0.000 0.000



(4)
Entry from the Alexandria database: La8Ga3CoBr4 after structural relaxation (PBE).

Results
Uncorrected energy ... -4.791 eV per atom
DOS(E_F) ... 10.75 states/eV/f.u.
Symmetry ... No. 12
Formation energy without anion corrections ... -0.90 eV per atom

Unit cell a=8.835 b=8.835 c=9.160 alpha=120.52 beta=120.52 gamma=57.41
Fractional coordinates of all 16 atoms:
La 0.215 0.768 0.700
La 0.232 0.785 0.300
La 0.245 0.245 0.734
La 0.255 0.255 0.262
La 0.745 0.745 0.738
La 0.755 0.755 0.266
La 0.768 0.215 0.700
La 0.785 0.232 0.300
Ga 0.000 0.500 0.500
Ga 0.500 0.000 0.500
Ga 0.500 0.500 0.500
Co 0.000 0.000 0.500
Br 0.000 0.000 0.000
Br 0.000 0.500 0.000
Br 0.500 0.000 0.000
Br 0.500 0.500 0.000